No. 1
This record from Alexandria via LeMat-Bulk describes crystalline K2UF6 at its relaxed geometry. The functional is PBE.

The structure in CIF format:
```
data_K2UF6
_chemical_formula_sum 'K4 U2 F12'
_space_group_name_H-M_alt 'I m m m'
_space_group_IT_number 71
_space_group_name_Hall '-I 2 2'
_cell_length_a 4.171
_cell_length_b 6.193
_cell_length_c 12.415
_cell_angle_alpha 90.00
_cell_angle_beta 90.00
_cell_angle_gamma 90.00
loop_
_atom_site_label
_atom_site_fract_x
_atom_site_fract_y
_atom_site_fract_z
_atom_site_occupancy
K1 0.000 0.000 0.167 1
U1 0.000 0.000 0.500 1
F1 0.000 0.224 0.361 1
F2 0.000 0.301 0.000 1
```

Computed properties:
Calculated total energy in eV per formula unit: -54.86
E_form (uncorrected) in eV/f.u.: -30.15
Total moment in μB/f.u.: 2.00
DOS(E_F) in states/eV per cell: 4.93

No. 2
This record from Alexandria via LeMat-Bulk describes crystalline KU2F8 at its relaxed geometry. The functional is PBE.

The structure in CIF format:
```
data_KU2F8
_chemical_formula_sum 'K2 U4 F16'
_space_group_name_H-M_alt 'C 1 2/m 1'
_space_group_IT_number 12
_space_group_name_Hall '-C 2y'
_cell_length_a 7.272
_cell_length_b 11.011
_cell_length_c 4.495
_cell_angle_alpha 90.00
_cell_angle_beta 99.95
_cell_angle_gamma 90.00
loop_
_atom_site_label
_atom_site_fract_x
_atom_site_fract_y
_atom_site_fract_z
_atom_site_occupancy
K1 0.000 0.000 0.000 1
U1 0.000 0.323 0.500 1
F1 0.000 0.262 0.000 1
F2 0.104 0.500 0.771 1
F3 0.191 0.144 0.564 1
```

Computed properties:
Calculated total energy in eV per formula unit: -76.80
E_form (uncorrected) in eV/f.u.: -38.16
Total moment in μB/f.u.: 5.00
DOS(E_F) in states/eV per cell: 32.49

No. 3
This record from Alexandria via LeMat-Bulk describes crystalline K2UF7 at its relaxed geometry. The functional is PBE.

The structure in CIF format:
```
data_K2UF7
_chemical_formula_sum 'K8 U4 F28'
_space_group_name_H-M_alt 'C 1 2/c 1'
_space_group_IT_number 15
_space_group_name_Hall '-C 2yc'
_cell_length_a 13.943
_cell_length_b 6.819
_cell_length_c 8.358
_cell_angle_alpha 90.00
_cell_angle_beta 126.45
_cell_angle_gamma 90.00
loop_
_atom_site_label
_atom_site_fract_x
_atom_site_fract_y
_atom_site_fract_z
_atom_site_occupancy
K1 0.175 0.013 0.250 1
U1 0.000 0.467 0.750 1
F1 0.000 0.142 0.750 1
F2 0.078 0.362 0.058 1
F3 0.110 0.287 0.433 1
F4 0.176 0.387 0.846 1
```

Computed properties:
Calculated total energy in eV per formula unit: -59.66
E_form (uncorrected) in eV/f.u.: -33.07
Total moment in μB/f.u.: 1.00
DOS(E_F) in states/eV per cell: 9.23